(1)
DFT (PBE) results for a relaxed structure of ErZn11Ag.

Summary:
**ΔE_f**: -150 meV/atom

a = 6.8139 Å, b = 6.8139 Å, c = 6.8081 Å
α = 98.61°, β = 98.61°, γ = 134.15°
Fractional positions:
Er: 0.0000 0.0000 0.0000
Zn: 0.0000 0.5000 0.0000
Zn: 0.0024 0.3592 0.3507
Zn: 0.2909 0.5090 0.7873
Zn: 0.3592 0.0024 0.3507
Zn: 0.4910 0.7091 0.2127
Zn: 0.5000 0.0000 0.0000
Zn: 0.5000 0.5000 0.5000
Zn: 0.5090 0.2909 0.7873
Zn: 0.6408 0.9976 0.6493
Zn: 0.7091 0.4910 0.2127
Zn: 0.9976 0.6408 0.6493
Ag: 0.0000 0.0000 0.5000

---

(2)
DFT (PBE) results for a relaxed structure of BaRe2Cl.

Summary:
**Relative energy among the computed polymorphs**: 0.34 eV/f.u.
**Formation energy from raw total energies**: 0.79 eV/f.u.

a = 3.4615 Å, b = 3.4896 Å, c = 8.9718 Å
α = 90.00°, β = 90.00°, γ = 90.00°
Fractional positions:
Ba: 0.0000 0.0000 0.0000
Re: 0.0000 0.0000 0.3815
Re: 0.5000 0.5000 0.3085
Cl: 0.5000 0.5000 0.7989

---

(3)
DFT (PBE) results for a relaxed structure of SmHfSn3.

Summary:
**ΔE_f**: -401 meV/atom

a = 13.9161 Å, b = 5.9847 Å, c = 6.2547 Å
α = 90.00°, β = 90.00°, γ = 90.00°
Fractional positions:
Sm: 0.1840 0.0087 0.2500
Sm: 0.1840 0.4913 0.7500
Sm: 0.8160 0.5087 0.2500
Sm: 0.8160 0.9913 0.7500
Hf: 0.3997 0.7500 0.0000
Hf: 0.3997 0.7500 0.5000
Hf: 0.6003 0.2500 0.0000
Hf: 0.6003 0.2500 0.5000
Sn: 0.0054 0.7500 0.0000
Sn: 0.0054 0.7500 0.5000
Sn: 0.2447 0.5072 0.2500
Sn: 0.2447 0.9928 0.7500
Sn: 0.4145 0.2133 0.2500
Sn: 0.4145 0.2867 0.7500
Sn: 0.5855 0.7133 0.2500
Sn: 0.5855 0.7867 0.7500
Sn: 0.7553 0.0072 0.2500
Sn: 0.7553 0.4928 0.7500
Sn: 0.9946 0.2500 0.0000
Sn: 0.9946 0.2500 0.5000

---

(4)
DFT (PBE) results for a relaxed structure of Tb4Se2SN.

Summary:
**Formation energy from raw total energies**: -14.27 eV/f.u.

a = 6.7250 Å, b = 3.8348 Å, c = 6.9451 Å
α = 90.00°, β = 108.45°, γ = 90.00°
Fractional positions:
Tb: 0.2146 0.0000 0.2050
Tb: 0.2362 0.5000 0.7883
Tb: 0.7638 0.5000 0.2117
Tb: 0.7854 0.0000 0.7950
Se: 0.0000 0.0000 0.5000
Se: 0.5000 0.5000 0.5000
S: 0.5000 0.0000 0.0000
N: 0.0000 0.5000 0.0000

---

(5)
DFT (PBE) results for a relaxed structure of K2CoRh.

Summary:
**ΔE_f**: 487 meV/atom
**Relative energy among the computed polymorphs**: 0.15 eV/f.u.

a = 3.4204 Å, b = 3.4204 Å, c = 9.9304 Å
α = 90.00°, β = 90.00°, γ = 90.00°
Fractional positions:
K: 0.0000 0.0000 0.0000
K: 0.5000 0.5000 0.4296
Co: 0.5000 0.5000 0.7382
Rh: 0.0000 0.0000 0.6898

---

(6)
DFT (PBE) results for a relaxed structure of CeYP2.

Summary:
**ΔE_f**: -1568 meV/atom
**Relative energy among the computed polymorphs**: 0.00 eV/f.u.

a = 4.0534 Å, b = 4.0534 Å, c = 19.8025 Å
α = 90.00°, β = 90.00°, γ = 120.00°
Fractional positions:
Ce: 0.0000 0.0000 0.0000
Ce: 0.3333 0.6667 0.6667
Ce: 0.6667 0.3333 0.3333
Y: 0.0000 0.0000 0.5000
Y: 0.3333 0.6667 0.1667
Y: 0.6667 0.3333 0.8333
P: 0.0000 0.0000 0.2492
P: 0.0000 0.0000 0.7508
P: 0.3333 0.6667 0.4174
P: 0.3333 0.6667 0.9159
P: 0.6667 0.3333 0.0841
P: 0.6667 0.3333 0.5826

---

| no. | DOS at the Fermi energy (states/eV per cell) | total energy (eV/atom) |
| --- | --- | --- |
| 1 | 4.2 | -1.80 |
| 2 | 2.9 | -6.97 |
| 3 | 18.7 | -5.74 |
| 4 | 2.3 | -6.53 |
| 5 | 3.4 | -3.68 |
| 6 | 14.1 | -7.37 |